Record 1
{
  "formula": "Li2MnTe",
  "functional": "PBE",
  "state": "relaxed",
  "lattice": [[1.900, -2.494, 0.000], [1.900, 2.494, 0.000], [0.000, 0.000, 8.699]],
  "species": ["Li", "Li", "Mn", "Te"],
  "fractional_positions": [[0.000, 0.000, 0.248], [0.000, 0.000, 0.752], [0.500, 0.500, 0.500], [0.500, 0.500, 0.000]],
  "e_form_raw_ev_per_fu": 0.4,
  "space_group": "Cmmm, No. 65"
}

***

Record 2
{
  "formula": "Ac2GaSn5",
  "functional": "PBE",
  "state": "relaxed",
  "lattice": [[-3.411, 3.411, 5.032], [3.411, -3.411, 5.032], [3.411, 3.411, -5.032]],
  "species": ["Ac", "Ac", "Ga", "Sn", "Sn", "Sn", "Sn", "Sn"],
  "fractional_positions": [[0.000, 0.500, 0.500], [0.500, 0.000, 0.500], [0.048, 0.048, 0.000], [0.006, 0.006, 0.508], [0.006, 0.498, 0.000], [0.498, 0.006, 0.000], [0.498, 0.498, 0.492], [0.541, 0.541, 0.000]],
  "delta_e_f_mev_per_atom": -490,
  "space_group": "I4mm, No. 107"
}